Entry 1:
Below is LiMnBr2 after structural relaxation, with properties calculated at the PBE-GGA level.

Calculated values
The value obtained for the density of states at the Fermi level is 0.402 states/eV per atom. For the magnetic moment, the calculation gives 1.0769 μB per atom. For the calculated density, the calculation gives 3.37 g cm⁻³. The raw total energy comes out at -33.15 eV per cell. The formation energy (no corrections) comes out at -0.536 eV per atom.

a = 7.517 Å, b = 7.519 Å, c = 3.869 Å
α = 90.00°, β = 91.98°, γ = 90.00°
Atoms (fractional coordinates):
Li: 0.000 0.000 0.000
Li: 0.500 0.500 0.000
Mn: 0.000 0.500 0.000
Mn: 0.500 0.000 0.000
Br: 0.250 0.250 0.000
Br: 0.250 0.750 0.000
Br: 0.750 0.250 0.000
Br: 0.750 0.750 0.000

Entry 2:
Below is Pm2Mn2InRh5 after structural relaxation, with properties calculated at the PBE-GGA level.

Calculated values
The value obtained for the density of states at the Fermi level is 0.704 states/eV per atom. For the magnetic moment, the calculation gives 0.7133 μB per atom. The formation energy from the elements is -4.00 eV per formula unit. For the calculated density, the calculation gives 9.58 g cm⁻³. The raw total energy comes out at -142.67 eV per cell.

a = 9.720 Å, b = 9.720 Å, c = 3.777 Å
α = 90.00°, β = 90.00°, γ = 90.00°
Atoms (fractional coordinates):
Pm: 0.180 0.320 0.000
Pm: 0.320 0.820 0.000
Pm: 0.680 0.180 0.000
Pm: 0.820 0.680 0.000
Mn: 0.118 0.618 0.000
Mn: 0.382 0.118 0.000
Mn: 0.618 0.882 0.000
Mn: 0.882 0.382 0.000
In: 0.000 0.000 0.000
In: 0.500 0.500 0.000
Rh: 0.000 0.500 0.500
Rh: 0.065 0.788 0.500
Rh: 0.212 0.065 0.500
Rh: 0.288 0.565 0.500
Rh: 0.435 0.288 0.500
Rh: 0.500 0.000 0.500
Rh: 0.565 0.712 0.500
Rh: 0.712 0.435 0.500
Rh: 0.788 0.935 0.500
Rh: 0.935 0.212 0.500